First-principles (PBE) data for a relaxed RbLuCuTe3 crystal, as listed in the Open Quantum Materials Database.

M_tot (μB/f.u.): 0.0
Mass density (g/cm3): 6.0
Calculated total energy (eV for the cell shown): -47.98

POSCAR file:
```
RbLuCuTe3
1.0
2.083 -8.421 0.000
2.083 8.421 0.000
0.000 0.000 11.158
Rb Te Cu Lu
2 6 2 2
Cartesian
2.083 4.163 8.368 Rb
2.083 -4.163 2.789 Rb
2.083 2.077 4.916 Te
2.083 -2.077 6.242 Te
2.083 -7.312 8.368 Te
2.083 2.077 0.663 Te
2.083 -2.077 10.495 Te
2.083 7.312 2.789 Te
2.083 0.555 2.789 Cu
2.083 -0.555 8.368 Cu
0.000 0.000 5.579 Lu
0.000 0.000 0.000 Lu
```